Material: Ac3TeAs2Pd6
Method: DFT, GGA-PBE
State: relaxed

Results
Energy   -5.489 eV/atom
Symmetry   P-3m1
E_form (uncorrected)   -828 meV per atom
Size of the total moment   0.00 μB per cell

Cell and atoms, written as POSCAR:
```
Ac3TeAs2Pd6
1.0
5.840 0.000 0.000
-2.920 5.058 0.000
0.000 0.000 10.012
Ac Te As Pd
3 1 2 6
Cartesian
0.000 0.000 0.000
0.000 3.372 6.240
2.920 1.686 3.772
0.000 0.000 5.006
0.000 3.372 0.975
2.920 1.686 9.037
0.000 1.708 2.836
-1.441 4.204 2.836
1.479 0.854 7.176
1.441 4.204 2.836
4.361 0.854 7.176
2.920 3.350 7.176
```

---

Material: Ac3TeAs2Pd9
Method: DFT, GGA-PBE
State: relaxed

Results
Energy   -5.413 eV/atom
Symmetry   P-3m1
E_form (uncorrected)   -646 meV per atom
Size of the total moment   0.00 μB per cell

Cell and atoms, written as POSCAR:
```
Ac3TeAs2Pd9
1.0
6.993 0.000 0.000
-3.496 6.056 0.000
0.000 0.000 8.238
Ac Te As Pd
3 1 2 9
Cartesian
0.000 0.000 0.000
0.000 4.037 5.723
3.496 2.019 2.515
0.000 0.000 4.119
0.000 4.037 1.300
3.496 2.019 6.939
-1.748 3.028 0.000
0.000 2.354 3.075
-1.458 4.879 3.075
2.039 1.177 5.163
3.496 0.000 0.000
1.748 3.028 0.000
1.458 4.879 3.075
4.954 1.177 5.163
3.496 3.702 5.163
```